No. 1
This record from Alexandria via LeMat-Bulk describes an optimized crystal structure of TaV2Mo5. The functional is PBE.

Cell: 5.339 4.498 10.444 Å, 90.00 90.11 90.00°
Space group P2/m (No. 10)
Asymmetric unit:
Ta (0.000, 0.000, 0.000) (multiplicity 1)
Ta (0.500, 0.000, 0.500) (multiplicity 1)
V (0.163, 0.500, 0.388) (multiplicity 2)
V (0.335, 0.500, 0.888) (multiplicity 2)
Mo (0.000, 0.000, 0.500) (multiplicity 1)
Mo (0.158, 0.000, 0.746) (multiplicity 2)
Mo (0.169, 0.500, 0.128) (multiplicity 2)
Mo (0.332, 0.500, 0.628) (multiplicity 2)
Mo (0.342, 0.000, 0.246) (multiplicity 2)
Mo (0.500, 0.000, 0.000) (multiplicity 1)

E_form in eV per atom: -0.008
Theoretical density in Mg/m³: 10.10
D(E_F) in states/eV/cell: 13.4

***

No. 2
This record from Alexandria via LeMat-Bulk describes an optimized crystal structure of Ta5VMo4. The functional is PBE.

Cell: 3.223 3.223 16.076 Å, 90.00 90.00 90.00°
Space group P4/mmm (No. 123)
Asymmetric unit:
Ta (0.000, 0.000, 0.000) (multiplicity 1)
Ta (0.000, 0.000, 0.201) (multiplicity 2)
Ta (0.000, 0.000, 0.402) (multiplicity 2)
V (0.500, 0.500, 0.500) (multiplicity 1)
Mo (0.500, 0.500, 0.101) (multiplicity 2)
Mo (0.500, 0.500, 0.303) (multiplicity 2)

E_form in eV per atom: -0.154
Theoretical density in Mg/m³: 13.32
D(E_F) in states/eV/cell: 10.6

***

No. 3
This record from Alexandria via LeMat-Bulk describes an optimized crystal structure of Ta3VMo. The functional is PBE.

Cell: 13.279 4.567 5.609 Å, 90.00 97.51 90.00°
Space group C2/m (No. 12)
Asymmetric unit:
Ta (0.006, 0.000, 0.255) (multiplicity 4)
Ta (0.104, 0.500, 0.953) (multiplicity 4)
Ta (0.202, 0.000, 0.650) (multiplicity 4)
V (0.093, 0.500, 0.458) (multiplicity 4)
Mo (0.200, 0.000, 0.154) (multiplicity 4)

Energy above the most stable polymorph in this dataset in eV per atom: 0.000
E_form in eV per atom: -0.075
Theoretical density in Mg/m³: 13.58
D(E_F) in states/eV/cell: 25.4

***

No. 4
This record from Alexandria via LeMat-Bulk describes an optimized crystal structure of TaVMo3. The functional is PBE.

Cell: 4.741 4.741 4.741 Å, 90.00 90.00 90.00°
Space group Pm-3m (No. 221)
Asymmetric unit:
Ta (0.000, 0.000, 0.000) (multiplicity 1)
V (0.500, 0.500, 0.500) (multiplicity 1)
Mo (0.000, 0.000, 0.500) (multiplicity 3)

Energy above the most stable polymorph in this dataset in eV per atom: 2.065
E_form in eV per atom: 1.938
Theoretical density in Mg/m³: 8.10
D(E_F) in states/eV/cell: 8.3

***

No. 5
This record from Alexandria via LeMat-Bulk describes an optimized crystal structure of TaVMo6. The functional is PBE.

Cell: 6.316 8.960 4.467 Å, 90.00 90.00 90.00°
Space group Cmmm (No. 65)
Asymmetric unit:
Ta (0.000, 0.000, 0.000) (multiplicity 2)
V (0.000, 0.500, 0.000) (multiplicity 2)
Mo (0.000, 0.251, 0.500) (multiplicity 4)
Mo (0.245, 0.500, 0.500) (multiplicity 4)
Mo (0.250, 0.250, 0.000) (multiplicity 4)

Energy above the most stable polymorph in this dataset in eV per atom: 0.000
E_form in eV per atom: -0.123
Theoretical density in Mg/m³: 10.61
D(E_F) in states/eV/cell: 3.9

***

No. 6
This record from Alexandria via LeMat-Bulk describes an optimized crystal structure of TaV2Mo. The functional is PBE.

Cell: 3.040 18.345 4.567 Å, 90.00 90.00 90.00°
Space group Cmcm (No. 63)
Asymmetric unit:
Ta (0.000, 0.122, 0.250) (multiplicity 4)
V (0.000, 0.250, 0.750) (multiplicity 4)
V (0.000, 0.490, 0.250) (multiplicity 4)
Mo (0.000, 0.359, 0.250) (multiplicity 4)

E_form in eV per atom: 0.255
Theoretical density in Mg/m³: 9.88
D(E_F) in states/eV/cell: 18.8

***

No. 7
This record from Alexandria via LeMat-Bulk describes an optimized crystal structure of TaV2Mo4. The functional is PBE.

Cell: 6.485 6.485 5.404 Å, 90.00 90.00 90.00°
Space group I4/mmm (No. 139)
Asymmetric unit:
Ta (0.000, 0.000, 0.000) (multiplicity 2)
V (0.000, 0.500, 0.250) (multiplicity 4)
Mo (0.196, 0.196, 0.500) (multiplicity 8)

Energy above the most stable polymorph in this dataset in eV per atom: 0.227
E_form in eV per atom: 0.324
Theoretical density in Mg/m³: 9.74
D(E_F) in states/eV/cell: 14.7

***

No. 8
This record from Alexandria via LeMat-Bulk describes an optimized crystal structure of TaV2Mo. The functional is PBE.

Cell: 6.951 6.951 5.390 Å, 90.00 90.00 90.00°
Space group I-42d (No. 122)
Asymmetric unit:
Ta (0.000, 0.000, 0.000) (multiplicity 4)
V (0.233, 0.250, 0.625) (multiplicity 8)
Mo (0.000, 0.000, 0.500) (multiplicity 4)

E_form in eV per atom: 0.585
Theoretical density in Mg/m³: 9.66
D(E_F) in states/eV/cell: 17.6

***

- Among the records above, which one has the lowest E_form?
  Ta5VMo4